(1)
A plane-wave DFT calculation with PBE-GGA was carried out for TaPdI2O after structural relaxation.

Cell lengths 5.5453, 5.5453, 3.8074 Å; angles 90.00, 90.00, 90.00 degrees
Sites, in units of the cell vectors:
Ta 0.0000 0.0000 0.0000
Pd 0.5000 0.5000 0.5000
I 0.0000 0.5000 0.5000
I 0.5000 0.0000 0.5000
O 0.5000 0.5000 0.0000

Symmetry: P4/mmm
Relative energy among the computed polymorphs: 104.9 kJ/mol of atoms
Final energy: -4.30 eV per atom
Raw formation energy: 3.6 eV per formula unit

=====

(2)
A plane-wave DFT calculation with PBE-GGA was carried out for TcPdIO2 after structural relaxation.

Cell lengths 3.9284, 3.9284, 6.7005 Å; angles 90.00, 90.00, 90.00 degrees
Sites, in units of the cell vectors:
Tc 0.0000 0.0000 0.0000
Pd 0.5000 0.5000 0.5000
I 0.5000 0.5000 0.0000
O 0.0000 0.5000 0.5000
O 0.5000 0.0000 0.5000

Symmetry: P4/mmm
Relative energy among the computed polymorphs: 125.1 kJ/mol of atoms
Final energy: -4.69 eV per atom
Raw formation energy: 3.6 eV per formula unit

=====

(3)
A plane-wave DFT calculation with PBE-GGA was carried out for TcPdIO2 after structural relaxation.

Cell lengths 3.8107, 3.8107, 6.0216 Å; angles 90.00, 90.00, 90.00 degrees
Sites, in units of the cell vectors:
Tc 0.0000 0.0000 0.0000
Pd 0.5000 0.5000 0.5000
I 0.0000 0.0000 0.5000
O 0.0000 0.5000 0.0000
O 0.5000 0.0000 0.0000

Symmetry: P4/mmm
Relative energy among the computed polymorphs: 0.0 kJ/mol of atoms
Final energy: -5.98 eV per atom
Raw formation energy: -2.9 eV per formula unit

=====

(4)
A plane-wave DFT calculation with PBE-GGA was carried out for TePdIO after structural relaxation.

Cell lengths 4.4300, 3.8585, 5.7675 Å; angles 90.00, 106.40, 90.00 degrees
Sites, in units of the cell vectors:
Te 0.0000 0.0000 0.0000
Pd 0.4009 0.5000 0.1548
I 0.3918 0.5000 0.6340
O 0.7209 0.0000 0.2042

Symmetry: Pm
Relative energy among the computed polymorphs: 0.0 kJ/mol of atoms
Final energy: -4.04 eV per atom
Raw formation energy: -1.3 eV per formula unit

=====

> What is the relative energy among the computed polymorphs in the fourth record?

0.0 kJ/mol of atoms